Compound: CaCdCo2
Source: the Alexandria database
Functional: PBEsol
Structure: relaxed

Cell: 3.0504 3.0504 7.2818 Å, 90.00 90.00 90.00°
Element x y z (fractional)
Ca  0.0000  0.0000  0.0000
Cd  0.5000  0.5000  0.3408
Co  0.0000  0.0000  0.5888
Co  0.5000  0.5000  0.7162

Summary:
Size of the total moment (Bohr magnetons per cell): 3.05
SG: P4mm (99)
N(E_F) (states/eV per cell): 3.6
ΔE_f (eV/atom): 0.181
Calculated total energy (eV per atom): -4.5204